# 1
Computed, not measured: crystalline TeAsPb2 at its relaxed geometry at the PBE level of DFT.

Properties
Space group: I-42d, No. 122
Energy relative to the elements, uncorrected (eV/atom): 0.02
E above lowest polymorph (eV/atom): 0.151
Mass density (g/cm3): 6.86
Crystal system: tetragonal

Unit cell a=7.659 b=7.659 c=7.433 alpha=58.99 beta=58.99 gamma=90.00
Element x y z (fractional)
1 Pb 0.154 0.625 0.250
2 Pb 0.875 0.846 0.750
3 Pb 0.375 0.404 0.750
4 Pb 0.596 0.125 0.250
5 As 0.250 0.750 0.500
6 As 0.500 0.500 0.000
7 Te 0.000 0.000 0.000
8 Te 0.750 0.250 0.500

# 2
Computed, not measured: crystalline TeAsPb2 at its relaxed geometry at the PBE level of DFT.

Properties
Space group: Amm2, No. 38
Energy relative to the elements, uncorrected (eV/atom): -0.05
E above lowest polymorph (eV/atom): 0.074
Mass density (g/cm3): 7.87
Crystal system: orthorhombic

Unit cell a=7.699 b=7.699 c=4.234 alpha=90.02 beta=90.02 gamma=31.24
Element x y z (fractional)
1 As 0.716 0.716 0.875
2 Te 0.467 0.467 0.375
3 Pb 0.264 0.264 0.375
4 Pb 0.052 0.052 0.875

# 3
Computed, not measured: crystalline TeAsPb at its relaxed geometry at the PBE level of DFT.

Properties
Space group: F-43m, No. 216
Energy relative to the elements, uncorrected (eV/atom): 0.18
E above lowest polymorph (eV/atom): 0.110
Mass density (g/cm3): 7.34
Crystal system: cubic

Unit cell a=5.079 b=5.079 c=5.079 alpha=60.00 beta=60.00 gamma=60.00
Element x y z (fractional)
1 Pb 0.000 0.000 0.000
2 Te 0.500 0.500 0.500
3 As 0.750 0.750 0.750

# 4
Computed, not measured: crystalline TeAsPb2 at its relaxed geometry at the PBE level of DFT.

Properties
Space group: R3m, No. 160
Energy relative to the elements, uncorrected (eV/atom): -0.10
E above lowest polymorph (eV/atom): 0.029
Mass density (g/cm3): 8.23
Crystal system: trigonal

Unit cell a=4.319 b=4.319 c=8.095 alpha=74.53 beta=74.53 gamma=60.00
Element x y z (fractional)
1 Pb 0.263 0.263 0.212
2 Pb 0.076 0.076 0.773
3 Te 0.496 0.496 0.512
4 As 0.666 0.666 0.003

# 5
Computed, not measured: crystalline TeAsPb2 at its relaxed geometry at the PBE level of DFT.

Properties
Space group: F-43m, No. 216
Energy relative to the elements, uncorrected (eV/atom): 0.21
E above lowest polymorph (eV/atom): 0.341
Mass density (g/cm3): 9.08
Crystal system: cubic

Unit cell a=5.424 b=5.424 c=5.424 alpha=60.00 beta=60.00 gamma=60.00
Element x y z (fractional)
1 Pb 0.250 0.250 0.250
2 Pb 0.000 0.000 0.000
3 As 0.500 0.500 0.500
4 Te 0.750 0.750 0.750

# 6
Computed, not measured: crystalline Te2As2Pb at its relaxed geometry at the PBE level of DFT.

Properties
Space group: P4/mbm, No. 127
Energy relative to the elements, uncorrected (eV/atom): 0.08
E above lowest polymorph (eV/atom): 0.000
Mass density (g/cm3): 7.09
Crystal system: tetragonal

Unit cell a=8.673 b=8.673 c=3.813 alpha=90.00 beta=90.00 gamma=90.00
Element x y z (fractional)
1 Te 0.840 0.340 0.500
2 Te 0.660 0.840 0.500
3 Te 0.340 0.160 0.500
4 Te 0.160 0.660 0.500
5 Pb 0.000 0.000 0.000
6 Pb 0.500 0.500 0.000
7 As 0.184 0.316 0.000
8 As 0.684 0.184 0.000
9 As 0.816 0.684 0.000
10 As 0.316 0.816 0.000

Q: Among the records above, which one has the lowest E above lowest polymorph?
A: Te2As2Pb

Q: Which value of mass density does entry 4 give?
A: 8.23 g/cm3

Q: The highest E above lowest polymorph belongs to which entry?
A: number 5

Q: What is the formula in the fourth record?
A: TeAsPb2